# 1
## TaTlTe2 (GGA-PBE)

Data for TaTlTe2 after structural relaxation.

Cell lengths 10.8857, 10.8857, 10.8857 Å; angles 17.99, 17.99, 17.99 degrees
With the nearest neighbours (Å) after each atom.
Fractional coordinates of all 4 atoms:
Ta: 0.7481 0.7481 0.7481  3 Te 2.76, 3 Tl 3.05
Te: 0.0213 0.0213 0.0213  3 Ta 2.76
Te: 0.2435 0.2435 0.2435  6 Te 3.40, 3 Tl 3.48
Tl: 0.4872 0.4872 0.4872  3 Ta 3.05, 6 Tl 3.40

The magnetization comes out at 0.0 μB per formula unit. Its crystal system is trigonal. For the formation energy (no corrections), the calculation gives 0.1929 eV per atom. The value obtained for the total energy is -0.36255 Ry per atom. The space-group type is R3m.


# 2
## TaTlTe2 (GGA-PBE)

Data for TaTlTe2 after structural relaxation.

Cell lengths 4.3775, 3.8434, 8.5161 Å; angles 76.45, 90.00, 90.00 degrees
With the nearest neighbours (Å) after each atom.
Fractional coordinates of all 4 atoms:
Ta: 0.5000 0.8192 0.9995  4 Te 2.66-2.72
Te: 0.0000 0.8979 0.8163  2 Ta 2.66
Te: 0.5000 0.1989 0.2316  2 Ta 2.72
Tl: 0.0000 0.5840 0.4526  6 Te 3.44-3.58, 2 Tl 3.84

The magnetization comes out at 0.0 μB per formula unit. Its crystal system is monoclinic. For the formation energy (no corrections), the calculation gives 0.1418 eV per atom. The value obtained for the total energy is -0.36630 Ry per atom. The space-group type is Pm.


# 3
## TaTlTe2 (GGA-PBE)

Data for TaTlTe2 after structural relaxation.

Cell lengths 3.3226, 3.3226, 10.7952 Å; angles 90.00, 90.00, 112.58 degrees
With the nearest neighbours (Å) after each atom.
Fractional coordinates of all 4 atoms:
Ta: 0.5000 0.5000 0.7500  4 Te 2.82
Te: 0.0000 0.0000 0.9476  2 Ta 2.82
Te: 0.0000 0.0000 0.5524  2 Ta 2.82
Tl: 0.5000 0.5000 0.2500  6 Tl 3.32-3.69

The magnetization comes out at 0.0 μB per formula unit. Its crystal system is orthorhombic. For the formation energy (no corrections), the calculation gives 0.1424 eV per atom. The value obtained for the total energy is -0.36625 Ry per atom. The space-group type is Cmmm.


Question: Look up the formation energy (no corrections) of the first one.
Answer: 0.1929 eV per atom